(1)
## CrOs2Se (SCAN)

Data for a crystal of CrOs2Se relaxed with PBEsol.

Raw formation energy (meV per atom): 519

a b c (Å): 2.805 3.999 5.133
angles (deg): 90.00 103.98 90.00
Fractional positions:
Cr (0.000, 0.000, 0.000)
Os (0.369, 0.500, 0.748)
Os (0.631, 0.500, 0.252)
Se (0.000, 0.000, 0.500)

---

(2)
## HoTc2 (SCAN)

Data for a crystal of HoTc2 relaxed with PBEsol.

E_tot (eV per atom): -39.98

a b c (Å): 5.284 5.284 8.732
angles (deg): 90.00 90.00 120.00
Fractional positions:
Ho (0.333, 0.667, 0.063)
Ho (0.333, 0.667, 0.437)
Ho (0.667, 0.333, 0.563)
Ho (0.667, 0.333, 0.937)
Tc (0.000, 0.000, 0.000)
Tc (0.000, 0.000, 0.500)
Tc (0.171, 0.342, 0.750)
Tc (0.171, 0.829, 0.750)
Tc (0.342, 0.171, 0.250)
Tc (0.658, 0.829, 0.750)
Tc (0.829, 0.171, 0.250)
Tc (0.829, 0.658, 0.250)

---

(3)
## LiRe2Se (SCAN)

Data for a crystal of LiRe2Se relaxed with PBEsol.

Raw formation energy (meV per atom): 515

a b c (Å): 5.667 5.667 2.674
angles (deg): 102.89 102.89 125.01
Fractional positions:
Li (0.000, 0.000, 0.000)
Re (0.000, 0.500, 0.000)
Re (0.500, 0.000, 0.000)
Se (0.500, 0.500, 0.000)

---

(4)
## CoRhI2N (SCAN)

Data for a crystal of CoRhI2N relaxed with PBEsol.

Raw formation energy (meV per atom): 803

a b c (Å): 5.159 5.159 3.358
angles (deg): 90.00 90.00 90.00
Fractional positions:
Co (0.000, 0.000, 0.000)
Rh (0.500, 0.500, 0.500)
I (0.000, 0.500, 0.000)
I (0.500, 0.000, 0.000)
N (0.000, 0.000, 0.500)

---

(5)
## NaTi2BeSi (SCAN)

Data for a crystal of NaTi2BeSi relaxed with PBEsol.

Raw formation energy (meV per atom): 1789

a b c (Å): 4.474 4.474 4.552
angles (deg): 90.00 90.00 90.00
Fractional positions:
Na (0.000, 0.000, 0.000)
Ti (0.000, 0.500, 0.000)
Ti (0.500, 0.000, 0.000)
Be (0.500, 0.500, 0.500)
Si (0.000, 0.000, 0.500)

---

(6)
## KZnSb2 (SCAN)

Data for a crystal of KZnSb2 relaxed with PBEsol.

Raw formation energy (meV per atom): 92

a b c (Å): 5.994 5.994 3.132
angles (deg): 90.00 90.00 114.49
Fractional positions:
K (0.000, 0.000, 0.000)
Zn (0.500, 0.500, 0.000)
Sb (0.000, 0.500, 0.500)
Sb (0.500, 0.000, 0.500)

---

(7)
## BeCd2Hg (SCAN)

Data for a crystal of BeCd2Hg relaxed with PBEsol.

Offset from the most stable computed form (meV per atom): 13

a b c (Å): 3.376 4.227 5.331
angles (deg): 90.00 103.12 90.00
Fractional positions:
Be (0.000, 0.000, 0.000)
Cd (0.221, 0.000, 0.507)
Cd (0.519, 0.500, 0.205)
Hg (0.835, 0.500, 0.754)

---

(8)
## SrNi2Sb (SCAN)

Data for a crystal of SrNi2Sb relaxed with PBEsol.

Raw formation energy (meV per atom): -430

a b c (Å): 5.744 5.744 5.744
angles (deg): 43.85 43.85 43.85
Fractional positions:
Sr (0.000, 0.000, 0.000)
Ni (0.190, 0.190, 0.190)
Ni (0.810, 0.810, 0.810)
Sb (0.500, 0.500, 0.500)

---

(9)
## Fe2NiRh (SCAN)

Data for a crystal of Fe2NiRh relaxed with PBEsol.

E_tot (eV per atom): -21.69

a b c (Å): 3.613 3.613 3.569
angles (deg): 90.00 90.00 90.00
Fractional positions:
Fe (0.000, 0.500, 0.000)
Fe (0.500, 0.000, 0.000)
Ni (0.000, 0.000, 0.500)
Rh (0.500, 0.500, 0.500)

---

(10)
## TlSnF3 (SCAN)

Data for a crystal of TlSnF3 relaxed with PBEsol.

Raw formation energy (meV per atom): -2146

a b c (Å): 10.213 10.213 8.213
angles (deg): 108.33 108.33 80.82
Fractional positions:
Tl (0.019, 0.981, 0.500)
Tl (0.116, 0.649, 0.805)
Tl (0.149, 0.616, 0.287)
Tl (0.235, 0.280, 0.594)
Tl (0.280, 0.235, 0.094)
Tl (0.616, 0.149, 0.787)
Tl (0.649, 0.116, 0.305)
Tl (0.981, 0.019, 0.000)
Sn (0.388, 0.868, 0.803)
Sn (0.390, 0.918, 0.338)
Sn (0.488, 0.509, 0.093)
Sn (0.509, 0.488, 0.593)
Sn (0.744, 0.759, 0.497)
Sn (0.759, 0.744, 0.997)
Sn (0.868, 0.388, 0.303)
Sn (0.918, 0.390, 0.838)
F (0.036, 0.207, 0.796)
F (0.070, 0.369, 0.297)
F (0.179, 0.887, 0.785)
F (0.207, 0.036, 0.296)
F (0.288, 0.445, 0.956)
F (0.294, 0.840, 0.498)
F (0.303, 0.549, 0.603)
F (0.307, 0.747, 0.143)
F (0.369, 0.070, 0.797)
F (0.404, 0.971, 0.094)
F (0.406, 0.505, 0.312)
F (0.445, 0.288, 0.456)
F (0.505, 0.406, 0.812)
F (0.549, 0.303, 0.103)
F (0.696, 0.943, 0.976)
F (0.734, 0.842, 0.270)
F (0.747, 0.307, 0.643)
F (0.808, 0.957, 0.629)
F (0.840, 0.294, 0.998)
F (0.842, 0.734, 0.770)
F (0.887, 0.179, 0.285)
F (0.943, 0.696, 0.476)
F (0.957, 0.808, 0.129)
F (0.971, 0.404, 0.594)

---

(11)
## As2IrAu (SCAN)

Data for a crystal of As2IrAu relaxed with PBEsol.

Offset from the most stable computed form (meV per atom): 126

a b c (Å): 6.079 6.079 6.079
angles (deg): 152.69 135.37 53.12
Fractional positions:
As (0.190, 0.190, 0.000)
As (0.810, 0.810, 0.000)
Ir (0.000, 0.500, 0.500)
Au (0.500, 0.000, 0.500)

---

(12)
## K2CoIr (SCAN)

Data for a crystal of K2CoIr relaxed with PBEsol.

Offset from the most stable computed form (meV per atom): 632

a b c (Å): 6.059 6.059 2.560
angles (deg): 90.00 90.00 90.00
Fractional positions:
K (0.000, 0.500, 0.000)
K (0.500, 0.000, 0.000)
Co (0.000, 0.000, 0.500)
Ir (0.500, 0.500, 0.500)

---

(13)
## Al2TlFePt (SCAN)

Data for a crystal of Al2TlFePt relaxed with PBEsol.

E_tot (eV per atom): -34.91

a b c (Å): 4.701 4.701 5.191
angles (deg): 90.00 90.00 90.00
Fractional positions:
Al (0.000, 0.500, 0.000)
Al (0.500, 0.000, 0.000)
Tl (0.000, 0.000, 0.500)
Fe (0.500, 0.500, 0.500)
Pt (0.000, 0.000, 0.000)

---

(14)
## ReTe2Rh (SCAN)

Data for a crystal of ReTe2Rh relaxed with PBEsol.

Raw formation energy (meV per atom): 569
Offset from the most stable computed form (meV per atom): 319

a b c (Å): 9.034 9.034 9.034
angles (deg): 20.68 20.68 20.68
Fractional positions:
Re (0.000, 0.000, 0.000)
Te (0.406, 0.406, 0.406)
Te (0.594, 0.594, 0.594)
Rh (0.500, 0.500, 0.500)

---

(15)
## CaHf2Cl (SCAN)

Data for a crystal of CaHf2Cl relaxed with PBEsol.

Raw formation energy (meV per atom): 851

a b c (Å): 5.052 5.052 5.052
angles (deg): 60.00 60.00 60.00
Fractional positions:
Ca (0.000, 0.000, 0.000)
Hf (0.250, 0.250, 0.250)
Hf (0.750, 0.750, 0.750)
Cl (0.500, 0.500, 0.500)

---

(16)
## MgMo2P (SCAN)

Data for a crystal of MgMo2P relaxed with PBEsol.

Offset from the most stable computed form (meV per atom): 104

a b c (Å): 4.332 4.332 4.332
angles (deg): 60.00 60.00 60.00
Fractional positions:
Mg (0.000, 0.000, 0.000)
Mo (0.250, 0.250, 0.250)
Mo (0.500, 0.500, 0.500)
P (0.750, 0.750, 0.750)

---

(17)
## CaIr2Ru (SCAN)

Data for a crystal of CaIr2Ru relaxed with PBEsol.

Offset from the most stable computed form (meV per atom): 175

a b c (Å): 4.877 4.877 4.877
angles (deg): 132.29 132.29 69.77
Fractional positions:
Ca (0.000, 0.000, 0.000)
Ir (0.500, 0.500, 0.000)
Ir (0.750, 0.250, 0.500)
Ru (0.250, 0.750, 0.500)

---

(18)
## LiRuPb (SCAN)

Data for a crystal of LiRuPb relaxed with PBEsol.

E_tot (eV per atom): -37.21

a b c (Å): 3.111 3.111 6.592
angles (deg): 90.00 90.00 120.00
Fractional positions:
Li (0.000, 0.000, 0.000)
Ru (0.667, 0.333, 0.301)
Pb (0.333, 0.667, 0.617)

---

(19)
## MgAlBr2 (SCAN)

Data for a crystal of MgAlBr2 relaxed with PBEsol.

Raw formation energy (meV per atom): -408
Offset from the most stable computed form (meV per atom): 0

a b c (Å): 3.578 3.578 9.005
angles (deg): 90.00 90.00 90.00
Fractional positions:
Mg (0.000, 0.000, 0.000)
Al (0.500, 0.500, 0.485)
Br (0.000, 0.000, 0.731)
Br (0.500, 0.500, 0.108)

---

(20)
## TlZn2FeRe (SCAN)

Data for a crystal of TlZn2FeRe relaxed with PBEsol.

E_tot (eV per atom): -36.38

a b c (Å): 4.744 4.744 5.117
angles (deg): 90.00 90.00 90.00
Fractional positions:
Tl (0.000, 0.000, 0.000)
Zn (0.000, 0.500, 0.500)
Zn (0.500, 0.000, 0.500)
Fe (0.500, 0.500, 0.000)
Re (0.000, 0.000, 0.500)